# Pu2HfPa | the Alexandria database | PBE | optimized geometry
# Energy (eV/f.u.): -47.14
# D(E_F) (states/eV/f.u.): 13.8
data_Pu2HfPa
_cell_length_a 3.812
_cell_length_b 3.812
_cell_length_c 6.489
_cell_angle_alpha 90.00
_cell_angle_beta 90.00
_cell_angle_gamma 90.00
_space_group_name_H-M_alt 'P 4/m m m'
_space_group_IT_number 123
_space_group_name_Hall '-P 4 2'
loop_
_atom_site_label
_atom_site_fract_x
_atom_site_fract_y
_atom_site_fract_z
Pu1 0.000 0.000 0.247
Hf1 0.500 0.500 0.500
Pa1 0.500 0.500 0.000



# PuHf2Pa | the Alexandria database | PBE | optimized geometry
# Energy (eV/f.u.): -43.02
# D(E_F) (states/eV/f.u.): 10.9
data_PuHf2Pa
_cell_length_a 3.2113
_cell_length_b 3.2113
_cell_length_c 32.0723
_cell_angle_alpha 90.00
_cell_angle_beta 90.00
_cell_angle_gamma 120.00
_space_group_name_H-M_alt 'R -3 m'
_space_group_IT_number 166
_space_group_name_Hall '-R 3 2"'
loop_
_atom_site_label
_atom_site_fract_x
_atom_site_fract_y
_atom_site_fract_z
Pu1 0.0000 0.0000 0.0000
Hf1 0.0000 0.0000 0.2505
Pa1 0.0000 0.0000 0.5000



# Pu2HfPa | the Alexandria database | PBE | optimized geometry
# Energy (eV/f.u.): -47.19
# D(E_F) (states/eV/f.u.): 9.9
data_Pu2HfPa
_cell_length_a 9.615
_cell_length_b 6.360
_cell_length_c 6.086
_cell_angle_alpha 90.00
_cell_angle_beta 90.66
_cell_angle_gamma 90.00
_space_group_name_H-M_alt 'C 1 2/m 1'
_space_group_IT_number 12
loop_
_space_group_symop_operation_xyz
'x,y,z'
'-x,-y,-z'
'-x,y,-z'
'x,-y,z'
'x+1/2,y+1/2,z'
'-x+1/2,-y+1/2,-z'
'-x+1/2,y+1/2,-z'
'x+1/2,-y+1/2,z'
loop_
_atom_site_label
_atom_site_fract_x
_atom_site_fract_y
_atom_site_fract_z
Pu1 0.134 0.211 0.367
Hf1 0.150 0.000 0.898
Pa1 0.068 0.500 0.790